Tb3Pm2Mg (PBE, optimized geometry); M_tot = 0.00 μB/f.u.; N(E_F) = 1.37 states/eV/atom; formation energy = 0.01 eV/atom; offset from the most stable computed form = 0 meV/atom
1.0
2.801 -8.892 0.000
2.801 8.892 0.000
0.000 0.000 3.810
Tb Pm Mg
3 2 1
direct
0.000 0.000 0.000 Tb
0.355 0.645 0.000 Tb
0.645 0.355 0.000 Tb
0.182 0.818 0.500 Pm
0.818 0.182 0.500 Pm
0.500 0.500 0.500 Mg